Entry 1:
Computed, not measured: a relaxed structure of Ge2Pb2Se at the PBE-GGA level of DFT.

Cell lengths 8.159, 8.159, 4.272 Å; angles 90.00, 90.00, 90.00 degrees
Atoms (fractional coordinates):
Pb (0.311, 0.811, 0.000)
Pb (0.189, 0.311, 0.000)
Pb (0.811, 0.689, 0.000)
Pb (0.689, 0.189, 0.000)
Ge (0.395, 0.105, 0.500)
Ge (0.105, 0.605, 0.500)
Ge (0.895, 0.395, 0.500)
Ge (0.605, 0.895, 0.500)
Se (0.500, 0.500, 0.000)
Se (0.000, 0.000, 0.000)

Properties
Energy above the lowest structure with this stoichiometry in meV/atom: 182
Raw formation energy in eV/atom: 0.17



Entry 2:
Computed, not measured: a relaxed structure of Ge2PbSe3 at the PBE-GGA level of DFT.

Cell lengths 4.055, 7.194, 11.214 Å; angles 103.52, 90.00, 90.00 degrees
Atoms (fractional coordinates):
Se (0.250, 0.363, 0.349)
Se (0.750, 0.786, 0.010)
Se (0.750, 0.873, 0.356)
Se (0.250, 0.127, 0.644)
Se (0.750, 0.637, 0.651)
Se (0.250, 0.214, 0.990)
Ge (0.250, 0.985, 0.144)
Ge (0.750, 0.015, 0.856)
Ge (0.750, 0.239, 0.518)
Ge (0.250, 0.761, 0.482)
Pb (0.750, 0.478, 0.198)
Pb (0.250, 0.522, 0.802)

Properties
Raw formation energy in eV/atom: -0.25



Entry 3:
Computed, not measured: a relaxed structure of GePb2Se4 at the PBE-GGA level of DFT.

Cell lengths 7.382, 7.382, 6.509 Å; angles 124.05, 124.08, 90.70 degrees
Atoms (fractional coordinates):
Se (0.705, 0.079, 0.784)
Se (0.061, 0.061, 0.497)
Se (0.079, 0.705, 0.784)
Se (0.436, 0.436, 0.497)
Ge (0.069, 0.069, 0.139)
Pb (0.075, 0.575, 0.150)
Pb (0.575, 0.075, 0.150)

Properties
Energy above the lowest structure with this stoichiometry in meV/atom: 0
Raw formation energy in eV/atom: -0.37



Entry 4:
Computed, not measured: a relaxed structure of Ge2PbSe2 at the PBE-GGA level of DFT.

Cell lengths 5.390, 5.390, 5.785 Å; angles 62.24, 62.24, 90.00 degrees
Atoms (fractional coordinates):
Se (0.750, 0.250, 0.500)
Se (0.250, 0.750, 0.500)
Ge (0.654, 0.654, 0.691)
Ge (0.346, 0.346, 0.309)
Pb (0.000, 0.000, 0.000)

Properties
Energy above the lowest structure with this stoichiometry in meV/atom: 0
Raw formation energy in eV/atom: -0.03